Material: BeOsBr2
Method: DFT, PBE-GGA
State: optimized geometry

Values from the calculation:
E_form (uncorrected) in eV per atom: 0.53
Density of states at the Fermi level in states/eV/atom: 0.86
Spin magnetization in μB per formula unit: 0.00

a = 3.289 Å, b = 3.289 Å, c = 9.320 Å
α = 90.00°, β = 90.00°, γ = 124.92°
Element x y z (fractional)
Br1 0.000 0.000 0.907
Br2 0.500 0.500 0.319
Be1 0.500 0.500 0.741
Os1 0.000 0.000 0.532